Computed, not measured: a relaxed structure of SrTl2Ga at the PBE-GGA level of DFT.

abc: 4.203 4.203 10.275
angles: 78.20 78.20 60.00
Element x y z (fractional)
Sr  0.000  0.000  0.000
Tl  0.113  0.113  0.662
Tl  0.887  0.887  0.338
Ga  0.500  0.500  0.500

Properties
Formation energy   0.6 eV/f.u.
Symmetry   R-3m (166)
E   -2.2034 eV/atom
Energy above the lowest structure with this stoichiometry   0.409 eV/atom